Computed, not measured: a geometry-optimized Li2AlNiO4 structure at the PBEsol level of DFT.

a b c (Å): 7.3598 7.4053 6.3034
angles (deg): 90.00 90.00 90.00
Closest atoms and distances in Å follow each position.
Space group C222_1 (No. 20)
Inequivalent atoms, fractional coordinates:
Li: 0.0000 0.1817 0.2500  4 O 1.94-1.99
Li: 0.1878 0.5000 0.5000  4 O 1.92-2.04
Al: 0.1774 0.5000 0.0000  4 O 1.76-1.78
Ni: 0.0000 0.1762 0.7500  4 O 1.83-1.87
O: 0.0200 0.3175 0.9879  1 Al 1.78, 1 Ni 1.83, 1 Li 1.94
O: 0.1893 0.0090 0.7317  1 Al 1.76, 1 Ni 1.87, 1 Li 1.92

Results
- E_tot: -200.24 eV for the cell shown
- N(E_F): 0.516 states/eV per cell
- E_form (uncorrected): -1.860 eV/atom
- Total magnetization: 3.002 μB/f.u.